No. 1
Material: TbCeTh2P4
Method: DFT, PBE
State: optimized geometry

abc: 4.108 7.112 7.095
angles: 109.55 90.00 90.00
Element x y z (fractional)
Tb: 0.000 0.000 0.000
Ce: 0.500 0.500 0.000
Th: 0.500 0.000 0.500
Th: 0.000 0.500 0.500
P: 0.500 0.248 0.245
P: 0.500 0.752 0.755
P: 0.000 0.250 0.755
P: 0.000 0.750 0.245

Summary:
The calculation puts the formation enthalpy at 0 K at -1.56 eV per atom. As for the electronic total energy: -7.4440 eV per atom. As for the symmetry: No. 10.



No. 2
Material: Tb3CeTh2P6
Method: DFT, PBE
State: optimized geometry

abc: 4.088 8.139 9.117
angles: 102.68 102.95 90.00
Element x y z (fractional)
Tb: 0.500 0.500 0.000
Tb: 0.834 0.167 0.667
Tb: 0.166 0.833 0.333
Ce: 0.500 0.000 0.000
Th: 0.834 0.668 0.668
Th: 0.166 0.332 0.332
P: 0.333 0.920 0.665
P: 0.666 0.587 0.331
P: 0.667 0.080 0.335
P: 0.999 0.251 0.998
P: 0.001 0.749 0.002
P: 0.334 0.413 0.669

Summary:
The calculation puts the formation enthalpy at 0 K at -1.58 eV per atom. As for the electronic total energy: -7.1784 eV per atom. As for the symmetry: No. 12.



No. 3
Material: Tb2CeTh3P6
Method: DFT, PBE
State: optimized geometry

abc: 7.108 7.108 7.082
angles: 99.63 99.63 120.00
Element x y z (fractional)
Tb: 0.333 0.667 0.000
Tb: 0.667 0.333 0.000
Ce: 0.000 0.000 0.000
Th: 0.166 0.834 0.500
Th: 0.834 0.166 0.500
Th: 0.500 0.500 0.500
P: 0.918 0.584 0.755
P: 0.747 0.747 0.244
P: 0.082 0.416 0.245
P: 0.584 0.918 0.755
P: 0.253 0.253 0.756
P: 0.416 0.082 0.245

Summary:
The calculation puts the formation enthalpy at 0 K at -1.57 eV per atom. As for the electronic total energy: -7.3969 eV per atom. As for the symmetry: No. 12.



No. 4
Material: Tb2Ce3ThP6
Method: DFT, PBE
State: optimized geometry

abc: 7.068 7.068 7.077
angles: 99.58 99.58 120.00
Element x y z (fractional)
Tb: 0.333 0.667 0.000
Tb: 0.667 0.333 0.000
Ce: 0.166 0.834 0.500
Ce: 0.834 0.166 0.500
Ce: 0.500 0.500 0.500
Th: 0.000 0.000 0.000
P: 0.917 0.581 0.751
P: 0.747 0.747 0.249
P: 0.083 0.419 0.249
P: 0.581 0.917 0.751
P: 0.253 0.253 0.751
P: 0.419 0.083 0.249

Summary:
The calculation puts the formation enthalpy at 0 K at -1.55 eV per atom. As for the electronic total energy: -7.1334 eV per atom. As for the symmetry: No. 12.



No. 5
Material: TbCe3Tm2P6
Method: DFT, PBE
State: optimized geometry

abc: 6.988 6.988 6.967
angles: 99.63 99.63 120.01
Element x y z (fractional)
Tb: 0.000 0.000 0.000
Ce: 0.166 0.834 0.500
Ce: 0.834 0.166 0.500
Ce: 0.500 0.500 0.500
Tm: 0.333 0.667 0.000
Tm: 0.667 0.333 0.000
P: 0.918 0.582 0.755
P: 0.745 0.745 0.244
P: 0.082 0.418 0.245
P: 0.582 0.918 0.755
P: 0.255 0.255 0.756
P: 0.418 0.082 0.245

Summary:
The calculation puts the formation enthalpy at 0 K at -1.55 eV per atom. As for the electronic total energy: -6.8718 eV per atom. As for the symmetry: No. 12.



No. 6
Material: Tb3Ce2TmP6
Method: DFT, PBE
State: optimized geometry

abc: 6.981 6.981 6.982
angles: 99.60 99.60 120.00
Element x y z (fractional)
Tb: 0.167 0.833 0.500
Tb: 0.833 0.167 0.500
Tb: 0.500 0.500 0.500
Ce: 0.334 0.666 0.000
Ce: 0.666 0.334 0.000
Tm: 0.000 0.000 0.000
P: 0.917 0.586 0.752
P: 0.752 0.752 0.250
P: 0.083 0.414 0.248
P: 0.586 0.917 0.752
P: 0.248 0.248 0.750
P: 0.414 0.083 0.248

Summary:
The calculation puts the formation enthalpy at 0 K at -1.58 eV per atom. As for the electronic total energy: -6.8004 eV per atom. As for the symmetry: No. 12.



No. 7
Material: Tb3CeTm2P6
Method: DFT, PBE
State: optimized geometry

abc: 6.938 6.938 6.948
angles: 99.59 99.59 119.99
Element x y z (fractional)
Tb: 0.166 0.834 0.500
Tb: 0.834 0.166 0.500
Tb: 0.500 0.500 0.500
Ce: 0.000 0.000 0.000
Tm: 0.333 0.667 0.000
Tm: 0.667 0.333 0.000
P: 0.918 0.583 0.753
P: 0.747 0.747 0.245
P: 0.082 0.417 0.247
P: 0.583 0.918 0.753
P: 0.253 0.253 0.755
P: 0.417 0.082 0.247

Summary:
The calculation puts the formation enthalpy at 0 K at -1.60 eV per atom. As for the electronic total energy: -6.6975 eV per atom. As for the symmetry: No. 12.



No. 8
Material: Tb2CeTmP4
Method: DFT, PBE
State: optimized geometry

abc: 4.022 6.952 6.963
angles: 109.40 90.00 90.00
Element x y z (fractional)
Tb: 0.500 0.000 0.500
Tb: 0.000 0.500 0.500
Ce: 0.500 0.500 0.000
Tm: 0.000 0.000 0.000
P: 0.500 0.247 0.246
P: 0.500 0.753 0.754
P: 0.000 0.248 0.751
P: 0.000 0.752 0.249

Summary:
The calculation puts the formation enthalpy at 0 K at -1.58 eV per atom. As for the electronic total energy: -6.7468 eV per atom. As for the symmetry: No. 10.



Copy entry 5 word for word.
Material: TbCe3Tm2P6
Method: DFT, PBE
State: optimized geometry

abc: 6.988 6.988 6.967
angles: 99.63 99.63 120.01
Element x y z (fractional)
Tb: 0.000 0.000 0.000
Ce: 0.166 0.834 0.500
Ce: 0.834 0.166 0.500
Ce: 0.500 0.500 0.500
Tm: 0.333 0.667 0.000
Tm: 0.667 0.333 0.000
P: 0.918 0.582 0.755
P: 0.745 0.745 0.244
P: 0.082 0.418 0.245
P: 0.582 0.918 0.755
P: 0.255 0.255 0.756
P: 0.418 0.082 0.245

Summary:
The calculation puts the formation enthalpy at 0 K at -1.55 eV per atom. As for the electronic total energy: -6.8718 eV per atom. As for the symmetry: No. 12.